# K12Hg3F5

A geometry-optimized K12Hg3F5 structure (PBE, Alexandria via LeMat-Bulk).

```
K12Hg3F5
1.0
15.602 0.000 0.000
-5.201 14.710 0.000
-5.201 -7.355 12.739
Hg F K
12 20 48
Direct
0.750 0.375 0.125
0.875 0.750 0.125
0.375 0.750 0.625
0.250 0.125 0.375
0.875 0.125 0.250
0.375 0.625 0.250
0.625 0.375 0.750
0.125 0.875 0.750
0.750 0.875 0.625
0.625 0.250 0.375
0.125 0.250 0.875
0.250 0.625 0.875
0.125 0.375 0.250
0.000 0.500 0.000
0.000 0.000 0.000
0.375 0.250 0.125
0.500 0.000 0.500
0.500 0.500 0.000
0.125 0.750 0.375
0.750 0.125 0.875
0.750 0.625 0.375
0.375 0.125 0.750
0.625 0.875 0.250
0.500 0.500 0.500
0.500 0.000 0.000
0.000 0.000 0.500
0.250 0.375 0.625
0.250 0.875 0.125
0.000 0.500 0.500
0.875 0.250 0.625
0.625 0.750 0.875
0.875 0.625 0.750
0.692 0.111 0.008
0.316 0.508 0.397
0.992 0.389 0.308
0.508 0.192 0.111
0.581 0.692 0.684
0.992 0.603 0.184
0.316 0.808 0.419
0.103 0.919 0.111
0.603 0.992 0.684
0.692 0.581 0.184
0.808 0.492 0.389
0.816 0.897 0.008
0.111 0.692 0.508
0.389 0.397 0.081
0.081 0.897 0.389
0.419 0.111 0.603
0.081 0.184 0.192
0.492 0.684 0.103
0.816 0.919 0.308
0.111 0.419 0.103
0.389 0.992 0.808
0.603 0.611 0.419
0.897 0.816 0.508
0.808 0.316 0.919
0.397 0.389 0.581
0.103 0.184 0.492
0.192 0.684 0.081
0.184 0.081 0.692
0.611 0.008 0.192
0.889 0.581 0.897
0.508 0.316 0.897
0.581 0.889 0.397
0.919 0.816 0.808
0.919 0.103 0.611
0.889 0.308 0.492
0.184 0.103 0.992
0.611 0.603 0.919
0.397 0.008 0.316
0.308 0.419 0.816
0.192 0.508 0.611
0.897 0.081 0.889
0.684 0.192 0.581
0.492 0.808 0.889
0.008 0.397 0.816
0.419 0.308 0.316
0.008 0.611 0.692
0.684 0.492 0.603
0.308 0.889 0.992
```

Energy: -199.4 eV/cell
Total magnetization: 0.00 μB per atom
Energy relative to the elements, uncorrected: -1321 meV/atom